The following is a PBE calculation of an optimized crystal structure of TeRu, from Alexandria.

Cell lengths 3.278, 5.492, 4.313 Å; angles 90.00, 90.00, 90.00 degrees
Fractional coordinates of all 4 atoms:
1 Te 0.000 0.000 0.000
2 Te 0.500 0.500 0.000
3 Ru 0.000 0.500 0.500
4 Ru 0.500 0.000 0.500

Formation energy from raw total energies, eV/atom: 0.758
Total moment, Bohr magnetons per cell: 0.0

The following is a PBE calculation of an optimized crystal structure of CsZrCu2Cl8, from Alexandria.

Cell lengths 6.268, 6.268, 10.247 Å; angles 93.15, 93.15, 69.56 degrees
Fractional coordinates of all 12 atoms:
1 Cs 0.000 0.000 0.000
2 Zr 0.000 0.000 0.500
3 Cu 0.350 0.350 0.705
4 Cu 0.650 0.650 0.295
5 Cl 0.237 0.753 0.325
6 Cl 0.244 0.244 0.505
7 Cl 0.247 0.763 0.675
8 Cl 0.328 0.328 0.912
9 Cl 0.672 0.672 0.088
10 Cl 0.753 0.237 0.325
11 Cl 0.756 0.756 0.495
12 Cl 0.763 0.247 0.675

Formation energy from raw total energies, eV/atom: -1.267
Total moment, Bohr magnetons per cell: 1.1

The following is a PBE calculation of an optimized crystal structure of ThP2IrRh2, from Alexandria.

Cell lengths 4.514, 4.514, 5.525 Å; angles 90.00, 90.00, 90.00 degrees
Fractional coordinates of all 6 atoms:
1 Th 0.000 0.000 0.000
2 P 0.000 0.500 0.500
3 P 0.500 0.000 0.500
4 Ir 0.000 0.000 0.500
5 Rh 0.500 0.500 0.247
6 Rh 0.500 0.500 0.753

DFT formation energy, eV per formula unit: -1.643
Total moment, Bohr magnetons per cell: 0.0

The following is a PBE calculation of an optimized crystal structure of SrTaTc2Rh, from Alexandria.

Cell lengths 4.597, 4.597, 4.846 Å; angles 90.00, 90.00, 90.00 degrees
Fractional coordinates of all 5 atoms:
1 Sr 0.000 0.000 0.000
2 Ta 0.000 0.000 0.500
3 Tc 0.000 0.500 0.000
4 Tc 0.500 0.000 0.000
5 Rh 0.500 0.500 0.500

DFT formation energy, eV per formula unit: 14.792
Total moment, Bohr magnetons per cell: 0.0

The following is a PBE calculation of an optimized crystal structure of USnRh3, from Alexandria.

Cell lengths 7.238, 7.238, 5.776 Å; angles 109.89, 109.89, 39.51 degrees
Fractional coordinates of all 10 atoms:
1 U 0.095 0.095 0.355
2 U 0.905 0.905 0.645
3 Sn 0.321 0.321 0.893
4 Sn 0.679 0.679 0.107
5 Rh 0.114 0.114 0.845
6 Rh 0.288 0.288 0.344
7 Rh 0.486 0.486 0.729
8 Rh 0.514 0.514 0.271
9 Rh 0.712 0.712 0.656
10 Rh 0.886 0.886 0.155

DFT formation energy, eV per formula unit: -2.226
Total moment, Bohr magnetons per cell: 1.8

The following is a PBE calculation of an optimized crystal structure of SmDy3Ho2Er6, from Alexandria.

Cell lengths 6.105, 6.105, 11.679 Å; angles 94.98, 94.98, 119.94 degrees
Fractional coordinates of all 12 atoms:
1 Sm 0.000 0.000 0.000
2 Dy 0.167 0.833 0.500
3 Dy 0.500 0.500 0.500
4 Dy 0.833 0.167 0.500
5 Ho 0.333 0.667 0.000
6 Ho 0.667 0.333 0.000
7 Er 0.084 0.418 0.251
8 Er 0.250 0.250 0.750
9 Er 0.418 0.084 0.251
10 Er 0.582 0.916 0.749
11 Er 0.750 0.750 0.250
12 Er 0.916 0.582 0.749

DFT formation energy, eV per formula unit: 0.232
Total moment, Bohr magnetons per cell: 0.0

The following is a PBE calculation of an optimized crystal structure of CuSbPCl2, from Alexandria.

Cell lengths 5.170, 5.170, 5.375 Å; angles 90.00, 90.00, 90.00 degrees
Fractional coordinates of all 5 atoms:
1 Cu 0.000 0.000 0.000
2 Sb 0.500 0.500 0.500
3 P 0.500 0.500 0.000
4 Cl 0.000 0.500 0.500
5 Cl 0.500 0.000 0.500

Formation energy from raw total energies, eV/atom: 0.511
Energy relative to the lowest polymorph listed for this composition, meV per atom: 314
Total moment, Bohr magnetons per cell: 0.7

The following is a PBE calculation of an optimized crystal structure of MgZrSe, from Alexandria.

Cell lengths 3.552, 3.552, 26.389 Å; angles 90.00, 90.00, 120.00 degrees
Fractional coordinates of all 12 atoms:
1 Mg 0.333 0.667 0.270
2 Mg 0.333 0.667 0.454
3 Mg 0.667 0.333 0.546
4 Mg 0.667 0.333 0.730
5 Zr 0.333 0.667 0.130
6 Zr 0.333 0.667 0.635
7 Zr 0.667 0.333 0.365
8 Zr 0.667 0.333 0.870
9 Se 0.333 0.667 0.799
10 Se 0.333 0.667 0.933
11 Se 0.667 0.333 0.067
12 Se 0.667 0.333 0.201

Formation energy from raw total energies, eV/atom: -0.566
Energy relative to the lowest polymorph listed for this composition, meV per atom: 55
Total moment, Bohr magnetons per cell: 1.3

Question: What is the formula in the third record?
Answer: ThP2IrRh2

Question: Which of these has the highest total moment?
Answer: USnRh3